1.
VASP calculation (PBE-GGA) on a relaxed structure of LaPm3Sm6Y2.

Size of the total moment, μB/f.u.: 0.00
Formation energy, eV per atom: 0.017
Crystal system: monoclinic

CIF file:
```
data_LaPm3Sm6Y2
_cell_length_a 6.296
_cell_length_b 6.296
_cell_length_c 12.079
_cell_angle_alpha 94.99
_cell_angle_beta 94.99
_cell_angle_gamma 119.99
_space_group_name_H-M_alt 'P 1'
_space_group_IT_number 1
loop_
_space_group_symop_operation_xyz
'x,y,z'
loop_
_atom_site_label
_atom_site_fract_x
_atom_site_fract_y
_atom_site_fract_z
La1 0.000 0.000 0.000
Pm1 0.167 0.833 0.500
Pm2 0.500 0.500 0.500
Pm3 0.833 0.167 0.500
Sm1 0.083 0.417 0.250
Sm2 0.251 0.251 0.750
Sm3 0.417 0.083 0.250
Sm4 0.583 0.917 0.750
Sm5 0.749 0.749 0.250
Sm6 0.917 0.583 0.750
Y1 0.333 0.667 0.000
Y2 0.667 0.333 0.000
```

=====

2.
VASP calculation (PBE-GGA) on a relaxed structure of InCuAu5.

Size of the total moment, μB/f.u.: 0.00
Formation energy, eV per atom: 0.378
Crystal system: orthorhombic

CIF file:
```
data_InCuAu5
_cell_length_a 6.684
_cell_length_b 6.684
_cell_length_c 6.684
_cell_angle_alpha 130.70
_cell_angle_beta 90.11
_cell_angle_gamma 110.24
_space_group_name_H-M_alt 'P 1'
_space_group_IT_number 1
loop_
_space_group_symop_operation_xyz
'x,y,z'
loop_
_atom_site_label
_atom_site_fract_x
_atom_site_fract_y
_atom_site_fract_z
In1 0.000 0.000 0.000
Cu1 0.051 0.551 0.500
Au1 0.051 0.800 0.251
Au2 0.329 0.085 0.756
Au3 0.329 0.573 0.244
Au4 0.549 0.800 0.749
Au5 0.636 0.636 0.000
```

=====

3.
VASP calculation (PBE-GGA) on a relaxed structure of Li2AgCl3.

Size of the total moment, μB/f.u.: 0.00
Formation energy without anion corrections, eV per atom: -1.36
Crystal system: orthorhombic

CIF file:
```
data_Li2AgCl3
_cell_length_a 13.383
_cell_length_b 6.942
_cell_length_c 12.788
_cell_angle_alpha 79.41
_cell_angle_beta 30.66
_cell_angle_gamma 69.94
_space_group_name_H-M_alt 'P 1'
_space_group_IT_number 1
loop_
_space_group_symop_operation_xyz
'x,y,z'
loop_
_atom_site_label
_atom_site_fract_x
_atom_site_fract_y
_atom_site_fract_z
Li1 0.000 0.000 0.000
Li2 0.250 0.250 0.250
Li3 0.336 0.667 0.334
Li4 0.500 0.500 0.500
Li5 0.588 0.916 0.583
Li6 0.667 0.336 0.662
Li7 0.750 0.750 0.750
Li8 0.916 0.588 0.914
Ag1 0.078 0.426 0.081
Ag2 0.169 0.835 0.172
Ag3 0.426 0.078 0.415
Ag4 0.835 0.169 0.824
Cl1 0.030 0.219 0.812
Cl2 0.126 0.644 0.858
Cl3 0.219 0.030 0.939
Cl4 0.311 0.438 0.031
Cl5 0.392 0.878 0.124
Cl6 0.438 0.311 0.220
Cl7 0.554 0.683 0.282
Cl8 0.644 0.126 0.372
Cl9 0.683 0.554 0.481
Cl10 0.769 0.968 0.567
Cl11 0.878 0.392 0.606
Cl12 0.968 0.769 0.696
```

=====

4.
VASP calculation (PBE-GGA) on a relaxed structure of Mn2CuPb.

Size of the total moment, μB/f.u.: 1.11
Formation energy, eV per atom: 0.827
Crystal system: tetragonal

CIF file:
```
data_Mn2CuPb
_cell_length_a 9.514
_cell_length_b 9.514
_cell_length_c 9.514
_cell_angle_alpha 157.12
_cell_angle_beta 157.12
_cell_angle_gamma 32.58
_space_group_name_H-M_alt 'P 1'
_space_group_IT_number 1
loop_
_space_group_symop_operation_xyz
'x,y,z'
loop_
_atom_site_label
_atom_site_fract_x
_atom_site_fract_y
_atom_site_fract_z
Mn1 0.024 0.625 0.899
Mn2 0.375 0.274 0.399
Mn3 0.726 0.125 0.101
Mn4 0.875 0.976 0.601
Cu1 0.000 0.000 0.000
Cu2 0.750 0.250 0.500
Pb1 0.250 0.750 0.500
Pb2 0.500 0.500 0.000
```

=====

5.
VASP calculation (PBE-GGA) on a relaxed structure of Pr5NdY2Ho.

Size of the total moment, μB/f.u.: 0.00
Formation energy, eV per atom: 0.298
Crystal system: tetragonal

CIF file:
```
data_Pr5NdY2Ho
_cell_length_a 9.777
_cell_length_b 9.777
_cell_length_c 9.777
_cell_angle_alpha 121.58
_cell_angle_beta 121.58
_cell_angle_gamma 87.29
_space_group_name_H-M_alt 'P 1'
_space_group_IT_number 1
loop_
_space_group_symop_operation_xyz
'x,y,z'
loop_
_atom_site_label
_atom_site_fract_x
_atom_site_fract_y
_atom_site_fract_z
Pr1 0.000 0.000 0.000
Pr2 0.069 0.569 0.904
Pr3 0.165 0.069 0.500
Pr4 0.335 0.835 0.904
Pr5 0.431 0.335 0.500
Pr6 0.500 0.500 0.000
Pr7 0.569 0.665 0.500
Pr8 0.665 0.165 0.096
Pr9 0.835 0.931 0.500
Pr10 0.931 0.431 0.096
Nd1 0.250 0.250 0.000
Nd2 0.750 0.750 0.000
Y1 0.108 0.392 0.500
Y2 0.392 0.892 0.284
Y3 0.608 0.108 0.716
Y4 0.892 0.608 0.500
Ho1 0.250 0.750 0.500
Ho2 0.750 0.250 0.500
```

=====

6.
VASP calculation (PBE-GGA) on a relaxed structure of ThAl2ZnPt5.

Size of the total moment, μB/f.u.: 0.00
Formation energy, eV per atom: -0.691
Crystal system: tetragonal

CIF file:
```
data_ThAl2ZnPt5
_cell_length_a 4.151
_cell_length_b 4.151
_cell_length_c 9.650
_cell_angle_alpha 90.00
_cell_angle_beta 90.00
_cell_angle_gamma 90.00
_space_group_name_H-M_alt 'P 1'
_space_group_IT_number 1
loop_
_space_group_symop_operation_xyz
'x,y,z'
loop_
_atom_site_label
_atom_site_fract_x
_atom_site_fract_y
_atom_site_fract_z
Th1 0.000 0.000 0.000
Al1 0.500 0.500 0.370
Al2 0.500 0.500 0.630
Zn1 0.000 0.000 0.500
Pt1 0.000 0.500 0.227
Pt2 0.000 0.500 0.773
Pt3 0.500 0.000 0.227
Pt4 0.500 0.000 0.773
Pt5 0.500 0.500 0.000
```

=====

7.
VASP calculation (PBE-GGA) on a relaxed structure of Sb4C.

Size of the total moment, μB/f.u.: 0.00
Formation energy without anion corrections, eV per atom: 0.93
Crystal system: trigonal

CIF file:
```
data_Sb4C
_cell_length_a 4.068
_cell_length_b 4.068
_cell_length_c 11.671
_cell_angle_alpha 90.00
_cell_angle_beta 90.00
_cell_angle_gamma 120.00
_space_group_name_H-M_alt 'P 1'
_space_group_IT_number 1
loop_
_space_group_symop_operation_xyz
'x,y,z'
loop_
_atom_site_label
_atom_site_fract_x
_atom_site_fract_y
_atom_site_fract_z
Sb1 0.333 0.667 0.072
Sb2 0.333 0.667 0.417
Sb3 0.667 0.333 0.583
Sb4 0.667 0.333 0.928
C1 0.000 0.000 0.500
```

=====

8.
VASP calculation (PBE-GGA) on a relaxed structure of LiSn2Ru.

Size of the total moment, μB/f.u.: 0.00
Formation energy, eV per atom: 0.224
Crystal system: tetragonal

CIF file:
```
data_LiSn2Ru
_cell_length_a 6.178
_cell_length_b 6.178
_cell_length_c 6.178
_cell_angle_alpha 103.32
_cell_angle_beta 103.32
_cell_angle_gamma 122.64
_space_group_name_H-M_alt 'P 1'
_space_group_IT_number 1
loop_
_space_group_symop_operation_xyz
'x,y,z'
loop_
_atom_site_label
_atom_site_fract_x
_atom_site_fract_y
_atom_site_fract_z
Li1 0.000 0.000 0.000
Li2 0.750 0.250 0.500
Sn1 0.162 0.625 0.037
Sn2 0.375 0.412 0.537
Sn3 0.588 0.125 0.963
Sn4 0.875 0.838 0.463
Ru1 0.250 0.750 0.500
Ru2 0.500 0.500 0.000
```